The following is a PBE calculation of crystalline HfTaRuW2 at its relaxed geometry, from Alexandria via LeMat-Bulk.

```
HfTaRuW2
1.0
4.7347 0.0000 0.0000
0.0000 4.7094 0.0000
0.0000 0.0000 4.7347
Ru Hf W Ta
1 1 2 1
direct
0.0000 0.0000 0.0000
0.5000 0.5000 0.5000
0.0000 0.0000 0.5000
0.5000 0.0000 0.0000
0.0000 0.5000 0.0000
```

Results
Its volume is 106 Å³/cell. The energy relative to the elements is 1.328 eV/atom. Its symmetry is No. 123. For the final energy, the calculation gives -10.070 eV/atom.

---

The following is a PBE calculation of crystalline HfZrTa2Ru at its relaxed geometry, from Alexandria via LeMat-Bulk.

```
HfZrTa2Ru
1.0
-4.1136 -2.2946 -1.2520
1.9367 -1.2211 -4.1254
1.6823 -4.1108 2.0065
Ru Hf Zr Ta
1 1 1 2
direct
0.0000 0.5000 0.0000
0.5000 0.5000 0.5000
0.0000 0.0000 0.0000
0.0000 0.0000 0.5000
0.5000 0.0000 0.0000
```

Results
Its volume is 112 Å³/cell. The energy relative to the elements is 1.509 eV/atom. Its symmetry is No. 123. For the final energy, the calculation gives -8.787 eV/atom.

---

The following is a PBE calculation of crystalline TbHf3Ru4 at its relaxed geometry, from Alexandria via LeMat-Bulk.

```
TbHf3Ru4
1.0
4.4408 0.0000 1.3109
2.0269 3.9512 1.3109
0.0280 0.0171 8.0825
Hf Tb Ru
3 1 4
direct
0.2481 0.2481 0.2557
0.7519 0.7519 0.7443
0.5000 0.5000 0.5000
0.0000 0.0000 0.0000
0.8720 0.8720 0.3839
0.3790 0.3790 0.8631
0.1280 0.1280 0.6161
0.6210 0.6210 0.1369
```

Results
Its volume is 142 Å³/cell. The energy relative to the elements is -0.687 eV/atom. Its symmetry is No. 166. For the final energy, the calculation gives -9.636 eV/atom.

---

The following is a PBE calculation of crystalline TbHfRu4 at its relaxed geometry, from Alexandria via LeMat-Bulk.

```
TbHfRu4
1.0
5.2657 0.0000 0.0000
2.6328 4.5602 0.0000
2.6328 1.5201 4.2994
Tb Hf Ru
1 1 4
direct
0.2500 0.2500 0.2500
0.0000 0.0000 0.0000
0.6254 0.6254 0.1239
0.6254 0.1239 0.6254
0.6254 0.6254 0.6254
0.1239 0.6254 0.6254
```

Results
Its volume is 103 Å³/cell. The energy relative to the elements is -0.295 eV/atom. Its symmetry is No. 216. For the final energy, the calculation gives -8.909 eV/atom.

---

The following is a PBE calculation of crystalline Tb2HfRu at its relaxed geometry, from Alexandria via LeMat-Bulk.

```
Tb2HfRu
1.0
-1.1396 -1.6965 2.5714
1.7892 -0.2198 2.7458
-4.3878 8.0566 5.4688
Tb Hf Ru
2 1 1
direct
0.1011 0.1011 0.6966
0.8989 0.8989 0.3034
0.0000 0.0000 0.0000
0.5000 0.5000 0.5000
```

Results
Its volume is 98 Å³/cell. The energy relative to the elements is 0.309 eV/atom. Its symmetry is No. 166. For the final energy, the calculation gives -6.814 eV/atom.

---

The following is a PBE calculation of crystalline Tb5HfRu6 at its relaxed geometry, from Alexandria via LeMat-Bulk.

```
Tb5HfRu6
1.0
-1.3418 3.7805 2.5873
-6.4658 -2.0405 -0.3717
0.1856 -1.9184 7.3028
Hf Tb Ru
1 5 6
direct
0.0000 0.0000 0.0000
0.6661 0.5000 0.6677
0.3341 0.0000 0.3319
0.0000 0.5000 0.0000
0.6659 0.0000 0.6681
0.3339 0.5000 0.3323
0.8395 0.7567 0.3210
0.8395 0.2433 0.3210
0.5000 0.2372 0.0000
0.5000 0.7628 0.0000
0.1605 0.7567 0.6790
0.1605 0.2433 0.6790
```

Results
Its volume is 232 Å³/cell. The energy relative to the elements is -0.370 eV/atom. Its symmetry is No. 65. For the final energy, the calculation gives -7.766 eV/atom.

---

The following is a PBE calculation of crystalline Tb3HfRu4 at its relaxed geometry, from Alexandria via LeMat-Bulk.

```
Tb3HfRu4
1.0
3.3519 0.0000 0.0000
0.0000 3.3519 0.0000
0.0000 0.0000 13.5731
Hf Tb Ru
1 3 4
direct
0.5000 0.5000 0.0000
0.5000 0.5000 0.2469
0.5000 0.5000 0.5000
0.5000 0.5000 0.7531
0.0000 0.0000 0.8874
0.0000 0.0000 0.1126
0.0000 0.0000 0.3718
0.0000 0.0000 0.6282
```

Results
Its volume is 152 Å³/cell. The energy relative to the elements is -0.427 eV/atom. Its symmetry is No. 123. For the final energy, the calculation gives -8.045 eV/atom.

---

The following is a PBE calculation of crystalline TbHfTcRu at its relaxed geometry, from Alexandria via LeMat-Bulk.

```
TbHfTcRu
1.0
-2.7254 -3.1409 -2.2100
1.6230 -2.2691 -3.7939
1.0142 -4.5915 0.2574
Tb Hf Tc Ru
1 1 1 1
direct
0.0000 0.0000 0.0000
0.5000 0.5000 0.5000
0.7500 0.7500 0.7500
0.2500 0.2500 0.2500
```

Results
Its volume is 74 Å³/cell. The energy relative to the elements is -0.287 eV/atom. Its symmetry is No. 216. For the final energy, the calculation gives -8.844 eV/atom.

---

The following is a PBE calculation of crystalline HfTc2Ru2 at its relaxed geometry, from Alexandria via LeMat-Bulk.

```
HfTc2Ru2
1.0
4.0228 0.0000 0.0000
0.0000 4.0228 0.0000
2.0114 2.0114 5.3252
Ru Hf Tc
2 1 2
direct
0.7500 0.2500 0.5000
0.2500 0.7500 0.5000
0.0000 0.0000 0.0000
0.3926 0.3926 0.2148
0.6074 0.6074 0.7852
```

Results
Its volume is 86 Å³/cell. The energy relative to the elements is 0.112 eV/atom. Its symmetry is No. 139. As for the excess energy over the best structure of this formula in the dataset: 0.748 eV per formula unit. For the final energy, the calculation gives -9.735 eV/atom.

---

The following is a PBE calculation of crystalline Hf2TcRu at its relaxed geometry, from Alexandria via LeMat-Bulk.

```
Hf2TcRu
1.0
0.0000 3.2486 3.2486
3.2486 0.0000 3.2486
3.2486 3.2486 0.0000
Ru Hf Tc
1 2 1
direct
0.5000 0.5000 0.5000
0.2500 0.2500 0.2500
0.7500 0.7500 0.7500
0.0000 0.0000 0.0000
```

Results
Its volume is 69 Å³/cell. The energy relative to the elements is -0.670 eV/atom. Its symmetry is No. 225. As for the excess energy over the best structure of this formula in the dataset: 0.017 eV per formula unit. For the final energy, the calculation gives -10.558 eV/atom.

---

The following is a PBE calculation of crystalline Hf6TcRu5 at its relaxed geometry, from Alexandria via LeMat-Bulk.

```
Hf6TcRu5
1.0
-3.3637 1.8711 2.5052
-4.1100 -0.7390 -4.9662
2.0175 -6.8048 3.5818
Ru Hf Tc
5 6 1
direct
0.6675 0.1675 0.3351
0.3332 0.3332 0.6665
0.0000 0.5000 0.0000
0.6668 0.6668 0.3335
0.3325 0.8325 0.6649
0.8340 0.5845 0.6679
0.8339 0.0834 0.6679
0.5001 0.7512 0.0000
0.4999 0.2488 0.0000
0.1661 0.9166 0.3321
0.1660 0.4155 0.3321
0.0000 0.0000 0.0000
```

Results
Its volume is 205 Å³/cell. The energy relative to the elements is -0.788 eV/atom. Its symmetry is No. 71. For the final energy, the calculation gives -10.493 eV/atom.

---

The following is a PBE calculation of crystalline Hf2TcRu at its relaxed geometry, from Alexandria via LeMat-Bulk.

```
Hf2TcRu
1.0
-4.4218 3.8462 -4.0341
-5.4828 -3.9281 2.2646
-5.3646 1.8154 1.3371
Ru Hf Tc
2 4 2
direct
0.0000 0.0000 0.0000
0.7500 0.2500 0.5000
0.6325 0.1250 0.2500
0.1175 0.6250 0.2500
0.3750 0.3675 0.7500
0.8750 0.8825 0.7500
0.5000 0.5000 0.0000
0.2500 0.7500 0.5000
```

Results
Its volume is 148 Å³/cell. The energy relative to the elements is 0.171 eV/atom. Its symmetry is No. 122. As for the excess energy over the best structure of this formula in the dataset: 3.382 eV per formula unit. For the final energy, the calculation gives -9.716 eV/atom.